Entry 1:
The following is a GGA-PBE calculation of crystalline CoIrBr2 at its relaxed geometry, from Alexandria via LeMat-Bulk.

```
CoIrBr2
1.0
-2.129 2.801 7.871
-5.156 2.488 6.446
0.149 -3.640 0.482
Br Ir Co
2 1 1
direct
0.896 0.896 0.909
0.604 0.604 0.591
0.750 0.750 0.750
0.250 0.250 0.250
```

## Properties
D(E_F), states/eV per atom: 0.737
Formation energy (no corrections), eV per atom: 0.395
Distance to the lowest polymorph of the same formula, kcal/mol of atoms: 3.33
Total magnetization, μB/cell: 3.2

---

Entry 2:
The following is a GGA-PBE calculation of crystalline CoIrBr2 at its relaxed geometry, from Alexandria via LeMat-Bulk.

```
CoIrBr2
1.0
-0.647 2.187 2.010
-2.960 -0.297 -0.629
-0.753 -6.152 6.450
Ir Br Co
1 2 1
direct
0.500 0.500 0.705
0.500 0.500 0.342
0.000 0.000 0.916
0.000 0.000 0.538
```

## Properties
D(E_F), states/eV per atom: 0.875
Formation energy (no corrections), eV per atom: 0.551
Distance to the lowest polymorph of the same formula, kcal/mol of atoms: 6.93
Total magnetization, μB/cell: 3.0

---

Entry 3:
The following is a GGA-PBE calculation of crystalline CoIrBr2 at its relaxed geometry, from Alexandria via LeMat-Bulk.

```
CoIrBr2
1.0
-1.247 1.500 -4.952
2.185 -3.960 -2.806
-3.830 1.419 3.412
Co Ir Br
1 1 2
direct
0.750 0.250 0.500
0.250 0.750 0.500
0.505 0.505 0.000
0.995 0.995 0.000
```

## Properties
D(E_F), states/eV per atom: 1.496
Formation energy (no corrections), eV per atom: 0.946
Distance to the lowest polymorph of the same formula, kcal/mol of atoms: 16.04
Total magnetization, μB/cell: 2.2

---

Entry 4:
The following is a GGA-PBE calculation of crystalline La4CoIrBr2 at its relaxed geometry, from Alexandria via LeMat-Bulk.

```
La4CoIrBr2
1.0
-0.179 -4.078 0.668
7.177 -0.274 0.247
-2.601 1.379 7.718
La Br Co Ir
4 2 1 1
direct
0.000 0.276 0.808
0.500 0.763 0.804
0.500 0.237 0.196
0.000 0.724 0.192
0.500 0.000 0.500
0.000 0.500 0.500
0.500 0.500 0.000
0.000 0.000 0.000
```

## Properties
D(E_F), states/eV per atom: 0.328
Formation energy (no corrections), eV per atom: -1.032
Total magnetization, μB/cell: 0.0

---

Entry 5:
The following is a GGA-PBE calculation of crystalline Nd8Co3IrBr4 at its relaxed geometry, from Alexandria via LeMat-Bulk.

```
Nd8Co3IrBr4
1.0
8.082 0.000 0.000
0.000 9.077 0.689
-4.041 -4.035 5.720
Nd Co Br Ir
8 3 4 1
direct
0.235 0.693 0.470
0.765 0.307 0.530
0.764 0.306 0.041
0.724 0.694 0.959
0.731 0.691 0.461
0.276 0.306 0.041
0.236 0.694 0.959
0.269 0.309 0.539
0.500 0.500 0.500
0.000 0.500 0.500
0.500 0.500 0.000
0.500 0.000 0.500
0.500 0.000 0.000
0.000 0.000 0.500
0.000 0.000 0.000
0.000 0.500 0.000
```

## Properties
D(E_F), states/eV per atom: 0.313
Formation energy (no corrections), eV per atom: -0.812
Total magnetization, μB/cell: 0.0

---

Entry 6:
The following is a GGA-PBE calculation of crystalline Nd6CoIr2Br3 at its relaxed geometry, from Alexandria via LeMat-Bulk.

```
Nd6CoIr2Br3
1.0
-1.767 -5.105 4.647
1.075 -1.634 -6.852
7.780 0.980 2.219
Nd Br Ir Co
6 3 2 1
direct
0.611 0.936 0.806
0.740 0.740 0.194
0.260 0.260 0.806
0.064 0.389 0.194
0.936 0.611 0.806
0.389 0.064 0.194
0.165 0.835 0.500
0.500 0.500 0.500
0.835 0.165 0.500
0.333 0.667 0.000
0.667 0.333 0.000
0.000 0.000 0.000
```

## Properties
D(E_F), states/eV per atom: 0.305
Formation energy (no corrections), eV per atom: -0.967
Total magnetization, μB/cell: 0.0

---

Entry 7:
The following is a GGA-PBE calculation of crystalline CoIr2OsBr at its relaxed geometry, from Alexandria via LeMat-Bulk.

```
CoIr2OsBr
1.0
4.603 0.000 0.000
0.000 4.179 0.000
0.000 0.000 4.603
Br Os Ir Co
1 1 2 1
direct
0.000 0.000 0.000
0.500 0.500 0.500
0.500 0.000 0.000
0.000 0.000 0.500
0.000 0.500 0.000
```

## Properties
D(E_F), states/eV per atom: 1.158
Formation energy (no corrections), eV per atom: 2.091
Total magnetization, μB/cell: 4.2

---

Entry 8:
The following is a GGA-PBE calculation of crystalline Pm4CoIrBr2 at its relaxed geometry, from Alexandria via LeMat-Bulk.

```
Pm4CoIrBr2
1.0
4.052 0.000 0.000
0.000 7.026 0.126
0.000 -2.464 7.712
Br Pm Ir Co
2 4 1 1
direct
0.500 0.000 0.500
0.000 0.500 0.500
0.500 0.239 0.195
0.500 0.761 0.805
0.000 0.722 0.192
0.000 0.278 0.808
0.000 0.000 0.000
0.500 0.500 0.000
```

## Properties
D(E_F), states/eV per atom: 0.212
Formation energy (no corrections), eV per atom: -0.913
Total magnetization, μB/cell: 0.0

---

Entry 9:
The following is a GGA-PBE calculation of crystalline Pr6Co2IrBr3 at its relaxed geometry, from Alexandria via LeMat-Bulk.

```
Pr6Co2IrBr3
1.0
-1.454 -5.153 -4.625
6.439 0.439 2.900
-4.000 -3.069 6.476
Pr Br Ir Co
6 3 1 2
direct
0.278 0.278 0.806
0.722 0.722 0.194
0.936 0.594 0.806
0.406 0.064 0.194
0.594 0.936 0.806
0.064 0.406 0.194
0.500 0.500 0.500
0.833 0.167 0.500
0.167 0.833 0.500
0.000 0.000 0.000
0.667 0.333 0.000
0.333 0.667 0.000
```

## Properties
D(E_F), states/eV per atom: 0.342
Formation energy (no corrections), eV per atom: -0.834
Total magnetization, μB/cell: 0.0

---

Entry 10:
The following is a GGA-PBE calculation of crystalline Pr8Co3IrBr4 at its relaxed geometry, from Alexandria via LeMat-Bulk.

```
Pr8Co3IrBr4
1.0
8.144 0.000 0.000
0.000 9.141 0.693
-4.072 -4.065 5.764
Br Co Pr Ir
4 3 8 1
direct
0.500 0.000 0.500
0.500 0.000 0.000
0.000 0.000 0.000
0.000 0.000 0.500
0.500 0.500 0.500
0.000 0.500 0.500
0.500 0.500 0.000
0.269 0.309 0.538
0.764 0.306 0.040
0.276 0.306 0.040
0.236 0.694 0.960
0.765 0.307 0.531
0.731 0.691 0.462
0.724 0.694 0.960
0.235 0.693 0.469
0.000 0.500 0.000
```

## Properties
D(E_F), states/eV per atom: 0.327
Formation energy (no corrections), eV per atom: -0.809
Total magnetization, μB/cell: 0.0

---

Entry 11:
The following is a GGA-PBE calculation of crystalline Co2IrPtBr at its relaxed geometry, from Alexandria via LeMat-Bulk.

```
Co2IrPtBr
1.0
4.712 0.000 0.000
0.000 4.855 0.000
0.000 0.000 4.712
Co Pt Br Ir
2 1 1 1
direct
0.500 0.000 0.000
0.000 0.000 0.500
0.000 0.500 0.000
0.500 0.500 0.500
0.000 0.000 0.000
```

## Properties
D(E_F), states/eV per atom: 0.936
Formation energy (no corrections), eV per atom: 1.251
Total magnetization, μB/cell: 5.2

---

Entry 12:
The following is a GGA-PBE calculation of crystalline Rb2CoIrBr6 at its relaxed geometry, from Alexandria via LeMat-Bulk.

```
Rb2CoIrBr6
1.0
7.426 0.000 0.000
0.000 7.426 0.000
3.713 3.713 5.154
Br Ir Rb Co
6 1 2 1
direct
0.245 0.755 0.000
0.245 0.245 0.000
0.749 0.749 0.502
0.755 0.245 0.000
0.755 0.755 0.000
0.251 0.251 0.498
0.000 0.000 0.000
0.250 0.750 0.500
0.750 0.250 0.500
0.500 0.500 0.000
```

## Properties
D(E_F), states/eV per atom: 1.448
Formation energy (no corrections), eV per atom: -0.661
Total magnetization, μB/cell: 2.0

---

Entry 13:
The following is a GGA-PBE calculation of crystalline CoIrRh2Br at its relaxed geometry, from Alexandria via LeMat-Bulk.

```
CoIrRh2Br
1.0
-4.620 -1.209 0.043
1.187 -4.534 0.122
0.010 0.131 4.774
Ir Br Rh Co
1 1 2 1
direct
0.000 0.000 0.000
0.500 0.500 0.500
0.500 0.000 0.000
0.000 0.000 0.500
0.000 0.500 0.000
```

## Properties
D(E_F), states/eV per atom: 1.449
Formation energy (no corrections), eV per atom: 1.292
Total magnetization, μB/cell: 2.3

---

Entry 14:
The following is a GGA-PBE calculation of crystalline ScCoIr2Br at its relaxed geometry, from Alexandria via LeMat-Bulk.

```
ScCoIr2Br
1.0
-2.273 2.852 -2.706
-3.488 0.175 3.114
1.999 3.530 2.041
Ir Co Sc Br
2 1 1 1
direct
0.500 0.000 0.000
0.000 0.000 0.500
0.000 0.000 0.000
0.500 0.500 0.500
0.000 0.500 0.000
```

## Properties
D(E_F), states/eV per atom: 1.095
Formation energy (no corrections), eV per atom: 0.682
Total magnetization, μB/cell: 1.9

---

Entry 15:
The following is a GGA-PBE calculation of crystalline CoIrSe2Br at its relaxed geometry, from Alexandria via LeMat-Bulk.

```
CoIrSe2Br
1.0
-0.414 2.082 -4.380
1.317 -4.182 -2.112
-4.968 -1.453 -0.221
Se Co Br Ir
2 1 1 1
direct
0.000 0.500 0.000
0.500 0.000 0.000
0.500 0.500 0.500
0.000 0.000 0.500
0.000 0.000 0.000
```

## Properties
D(E_F), states/eV per atom: 1.689
Formation energy (no corrections), eV per atom: 0.927
Distance to the lowest polymorph of the same formula, kcal/mol of atoms: 0.00
Total magnetization, μB/cell: 2.7

---

Entry 16:
The following is a GGA-PBE calculation of crystalline CoIrSeBr2 at its relaxed geometry, from Alexandria via LeMat-Bulk.

```
CoIrSeBr2
1.0
5.245 0.000 0.000
0.000 5.245 0.000
0.000 0.000 4.699
Se Co Br Ir
1 1 2 1
direct
0.000 0.000 0.500
0.500 0.500 0.500
0.500 0.000 0.000
0.000 0.500 0.000
0.000 0.000 0.000
```

## Properties
D(E_F), states/eV per atom: 1.764
Formation energy (no corrections), eV per atom: 0.863
Distance to the lowest polymorph of the same formula, kcal/mol of atoms: 0.00
Total magnetization, μB/cell: 2.6

---

Entry 17:
The following is a GGA-PBE calculation of crystalline CoSi2IrBr at its relaxed geometry, from Alexandria via LeMat-Bulk.

```
CoSi2IrBr
1.0
-1.552 3.669 -2.576
-1.932 -2.637 -2.592
-3.908 0.229 2.680
Si Br Ir Co
2 1 1 1
direct
0.000 0.000 0.500
0.500 0.000 0.000
0.000 0.000 0.000
0.500 0.500 0.500
0.000 0.500 0.000
```

## Properties
D(E_F), states/eV per atom: 0.483
Formation energy (no corrections), eV per atom: 1.702
Total magnetization, μB/cell: 0.8

---

Entry 18:
The following is a GGA-PBE calculation of crystalline Sm6CoIr2Br3 at its relaxed geometry, from Alexandria via LeMat-Bulk.

```
Sm6CoIr2Br3
1.0
-1.509 0.067 6.882
6.551 -1.437 -2.159
0.072 7.961 -1.260
Sm Ir Co Br
6 2 1 3
direct
0.259 0.259 0.807
0.613 0.936 0.808
0.741 0.741 0.193
0.387 0.064 0.192
0.064 0.387 0.192
0.936 0.613 0.808
0.333 0.667 0.000
0.667 0.333 0.000
0.000 0.000 0.000
0.165 0.835 0.500
0.500 0.500 0.500
0.835 0.165 0.500
```

## Properties
D(E_F), states/eV per atom: 0.274
Formation energy (no corrections), eV per atom: -0.978
Total magnetization, μB/cell: 0.0

---

Entry 19:
The following is a GGA-PBE calculation of crystalline K5CoBr8 at its relaxed geometry, from Alexandria via LeMat-Bulk.

```
K5CoBr8
1.0
8.506 0.000 -2.451
-4.468 6.942 -3.195
0.431 0.000 8.842
K Br Co
5 8 1
direct
0.500 0.000 0.500
0.027 0.426 0.183
0.757 0.574 0.601
0.399 0.156 0.973
0.817 0.844 0.243
0.111 0.813 0.516
0.218 0.296 0.467
0.701 0.405 0.889
0.171 0.704 0.922
0.484 0.595 0.297
0.533 0.751 0.829
0.078 0.249 0.782
0.703 0.187 0.299
0.250 0.500 0.750
```

## Properties
D(E_F), states/eV per atom: 0.082
Formation energy (no corrections), eV per atom: -1.242
Total magnetization, μB/cell: 2.1

---

Entry 20:
The following is a GGA-PBE calculation of crystalline K2CoBr at its relaxed geometry, from Alexandria via LeMat-Bulk.

```
K2CoBr
1.0
-1.453 -5.561 0.408
4.095 -4.053 0.031
1.123 -2.924 4.836
Co Br K
1 1 2
direct
0.750 0.750 0.750
0.500 0.500 0.500
0.000 0.000 0.000
0.250 0.250 0.250
```

## Properties
D(E_F), states/eV per atom: 1.582
Formation energy (no corrections), eV per atom: 0.262
Distance to the lowest polymorph of the same formula, kcal/mol of atoms: 7.97
Total magnetization, μB/cell: 2.0

---

Entry 21:
The following is a GGA-PBE calculation of crystalline K2CoBr at its relaxed geometry, from Alexandria via LeMat-Bulk.

```
K2CoBr
1.0
8.727 0.000 0.000
0.000 8.727 0.000
4.364 4.364 4.735
Co Br K
2 2 4
direct
0.250 0.750 0.500
0.500 0.500 0.000
0.000 0.000 0.000
0.750 0.250 0.500
0.875 0.895 0.750
0.645 0.125 0.250
0.375 0.355 0.750
0.105 0.625 0.250
```

## Properties
D(E_F), states/eV per atom: 0.000
Formation energy (no corrections), eV per atom: -0.001
Distance to the lowest polymorph of the same formula, kcal/mol of atoms: 1.89
Total magnetization, μB/cell: 4.0

---

Entry 22:
The following is a GGA-PBE calculation of crystalline K2CoBr4 at its relaxed geometry, from Alexandria via LeMat-Bulk.

```
K2CoBr4
1.0
-3.567 -3.523 -1.186
2.799 -1.464 -4.070
3.555 -8.068 2.087
Co K Br
1 2 4
direct
0.000 0.000 0.000
0.641 0.641 0.718
0.359 0.359 0.282
0.841 0.841 0.317
0.159 0.159 0.683
0.000 0.500 0.000
0.500 0.000 0.000
```

## Properties
D(E_F), states/eV per atom: 1.323
Formation energy (no corrections), eV per atom: -1.046
Total magnetization, μB/cell: 2.9

---

Entry 23:
The following is a GGA-PBE calculation of crystalline KCoBr2 at its relaxed geometry, from Alexandria via LeMat-Bulk.

```
KCoBr2
1.0
3.796 0.000 0.000
0.000 4.272 -0.203
0.000 0.775 7.155
Co Br K
1 2 1
direct
0.500 0.250 0.250
0.000 0.274 0.483
0.000 0.226 0.017
0.500 0.750 0.750
```

## Properties
D(E_F), states/eV per atom: 0.610
Formation energy (no corrections), eV per atom: -0.578
Distance to the lowest polymorph of the same formula, kcal/mol of atoms: 1.61
Total magnetization, μB/cell: 2.0

---

Entry 24:
The following is a GGA-PBE calculation of crystalline KCoBr2 at its relaxed geometry, from Alexandria via LeMat-Bulk.

```
KCoBr2
1.0
-6.144 -0.258 5.228
-2.287 -4.546 6.266
5.688 4.166 -3.929
Br K Co
2 1 1
direct
0.000 0.000 0.000
0.250 0.750 0.500
0.750 0.250 0.500
0.500 0.500 0.000
```

## Properties
D(E_F), states/eV per atom: 1.519
Formation energy (no corrections), eV per atom: -0.193
Distance to the lowest polymorph of the same formula, kcal/mol of atoms: 10.48
Total magnetization, μB/cell: 2.2

---

Entry 25:
The following is a GGA-PBE calculation of crystalline K2CoBr at its relaxed geometry, from Alexandria via LeMat-Bulk.

```
K2CoBr
1.0
5.801 -0.004 -0.023
0.002 5.801 -0.023
0.017 0.017 4.013
Co K Br
1 2 1
direct
0.000 0.500 0.500
0.000 0.000 0.000
0.500 0.500 0.000
0.500 0.000 0.500
```

## Properties
D(E_F), states/eV per atom: 0.128
Formation energy (no corrections), eV per atom: -0.069
Distance to the lowest polymorph of the same formula, kcal/mol of atoms: 0.33
Total magnetization, μB/cell: 2.0